Computed, not measured: crystalline LaMn2ZnPt at its relaxed geometry at the GGA-PBEsol level of DFT.

Calculated values
As for the density of states at the Fermi level: 4.63 states/eV per cell. As for the volume: 100 Å³ per cell. Its formation energy from the elements is 1.756 eV/atom. The value obtained for the mass density is 8.5 g/cm³.

Unit cell a=4.422 b=4.422 c=5.111 alpha=90.00 beta=90.00 gamma=90.00
Space group P4/mmm (No. 123)
Inequivalent atoms, fractional coordinates:
La: 0.000 0.000 0.000 (multiplicity 1)
Mn: 0.000 0.500 0.000 (multiplicity 2)
Zn: 0.000 0.000 0.500 (multiplicity 1)
Pt: 0.500 0.500 0.500 (multiplicity 1)